## DyRu6 (PBE)

Data for a geometry-optimized DyRu6 structure.

Cell and atoms, written as POSCAR:
```
DyRu6
1.0
-3.465 -3.831 2.618
2.496 -2.481 -4.599
4.091 1.751 3.706
Dy Ru
1 6
direct
0.000 0.000 0.000
0.250 0.750 0.500
0.500 0.750 0.250
0.250 0.500 0.750
0.750 0.250 0.500
0.500 0.250 0.750
0.750 0.500 0.250
```

Summary:
Calculated total energy   -7.8846 eV per atom
Calculated formation energy   0.724 eV per atom